Record 1
# GaFeMoRh | Alexandria | PBE-GGA | optimized geometry
data_GaFeMoRh
_chemical_formula_sum 'Ga4 Fe4 Mo4 Rh4'
_cell_length_a 6.073
_cell_length_b 6.073
_cell_length_c 6.073
_cell_angle_alpha 90.00
_cell_angle_beta 90.00
_cell_angle_gamma 90.00
_space_group_name_H-M_alt 'F -4 3 m'
_space_group_IT_number 216
_space_group_name_Hall 'F -4 2 3'
loop_
_atom_site_label
_atom_site_fract_x
_atom_site_fract_y
_atom_site_fract_z
Ga1 0.000 0.000 0.000
Fe1 0.000 0.000 0.500
Mo1 0.250 0.250 0.250
Rh1 0.250 0.250 0.750
# ΔE_f in meV per atom: -157.6
# Size of the total moment in Bohr magnetons per cell: 7.7
# D(E_F) in states/eV per cell: 7.590

---

Record 2
# GaFeMoRu | Alexandria | PBE-GGA | optimized geometry
data_GaFeMoRu
_chemical_formula_sum 'Ga4 Fe4 Mo4 Ru4'
_cell_length_a 6.027
_cell_length_b 6.027
_cell_length_c 6.027
_cell_angle_alpha 90.00
_cell_angle_beta 90.00
_cell_angle_gamma 90.00
_space_group_name_H-M_alt 'F -4 3 m'
_space_group_IT_number 216
_space_group_name_Hall 'F -4 2 3'
loop_
_atom_site_label
_atom_site_fract_x
_atom_site_fract_y
_atom_site_fract_z
Ga1 0.000 0.000 0.000
Fe1 0.250 0.250 0.250
Mo1 0.000 0.000 0.500
Ru1 0.250 0.250 0.750
# ΔE_f in meV per atom: -56.2
# Size of the total moment in Bohr magnetons per cell: 2.9
# D(E_F) in states/eV per cell: 15.380

---

Record 3
# Ga2FeSnMo | Alexandria | PBE-GGA | optimized geometry
data_Ga2FeSnMo
_chemical_formula_sum 'Ga2 Fe1 Sn1 Mo1'
_cell_length_a 4.509
_cell_length_b 4.509
_cell_length_c 4.809
_cell_angle_alpha 90.00
_cell_angle_beta 90.00
_cell_angle_gamma 90.00
_space_group_name_H-M_alt 'P 4/m m m'
_space_group_IT_number 123
_space_group_name_Hall '-P 4 2'
loop_
_atom_site_label
_atom_site_fract_x
_atom_site_fract_y
_atom_site_fract_z
Ga1 0.000 0.500 0.000
Fe1 0.000 0.000 0.000
Sn1 0.000 0.000 0.500
Mo1 0.500 0.500 0.500
# ΔE_f in meV per atom: 693.9
# Size of the total moment in Bohr magnetons per cell: 4.6
# D(E_F) in states/eV per cell: 2.726

---

Record 4
# GaFe2TcMo | Alexandria | PBE-GGA | optimized geometry
data_GaFe2TcMo
_chemical_formula_sum 'Ga1 Fe2 Tc1 Mo1'
_cell_length_a 4.174
_cell_length_b 4.174
_cell_length_c 4.474
_cell_angle_alpha 90.00
_cell_angle_beta 90.00
_cell_angle_gamma 90.00
_space_group_name_H-M_alt 'P 4/m m m'
_space_group_IT_number 123
_space_group_name_Hall '-P 4 2'
loop_
_atom_site_label
_atom_site_fract_x
_atom_site_fract_y
_atom_site_fract_z
Ga1 0.000 0.000 0.000
Fe1 0.000 0.500 0.000
Tc1 0.000 0.000 0.500
Mo1 0.500 0.500 0.500
# ΔE_f in meV per atom: 1423.2
# Size of the total moment in Bohr magnetons per cell: 0.0
# D(E_F) in states/eV per cell: 4.232

---

Record 5
# GaFeTcMo | Alexandria | PBE-GGA | optimized geometry
data_GaFeTcMo
_chemical_formula_sum 'Ga4 Fe4 Tc4 Mo4'
_cell_length_a 6.042
_cell_length_b 6.042
_cell_length_c 6.042
_cell_angle_alpha 90.00
_cell_angle_beta 90.00
_cell_angle_gamma 90.00
_space_group_name_H-M_alt 'F -4 3 m'
_space_group_IT_number 216
_space_group_name_Hall 'F -4 2 3'
loop_
_atom_site_label
_atom_site_fract_x
_atom_site_fract_y
_atom_site_fract_z
Ga1 0.000 0.000 0.000
Fe1 0.250 0.250 0.750
Tc1 0.250 0.250 0.250
Mo1 0.000 0.000 0.500
# ΔE_f in meV per atom: -57.9
# Size of the total moment in Bohr magnetons per cell: 0.0
# D(E_F) in states/eV per cell: 10.294

---

Record 6
# VGaFe2Mo | Alexandria | PBE-GGA | optimized geometry
data_VGaFe2Mo
_chemical_formula_sum 'V1 Ga1 Fe2 Mo1'
_cell_length_a 4.589
_cell_length_b 4.589
_cell_length_c 4.518
_cell_angle_alpha 90.00
_cell_angle_beta 90.00
_cell_angle_gamma 90.00
_space_group_name_H-M_alt 'P 4/m m m'
_space_group_IT_number 123
_space_group_name_Hall '-P 4 2'
loop_
_atom_site_label
_atom_site_fract_x
_atom_site_fract_y
_atom_site_fract_z
V1 0.000 0.000 0.000
Ga1 0.500 0.500 0.000
Fe1 0.000 0.500 0.500
Mo1 0.000 0.000 0.500
# ΔE_f in meV per atom: 1328.6
# Size of the total moment in Bohr magnetons per cell: 4.6
# D(E_F) in states/eV per cell: 4.035